# 1
# Lu2MgCo, optimized geometry, DFT GGA-PBE
data_Lu2MgCo
_chemical_formula_sum 'Lu8 Mg4 Co4'
_cell_length_a 6.818
_cell_length_b 6.818
_cell_length_c 6.818
_cell_angle_alpha 90.00
_cell_angle_beta 90.00
_cell_angle_gamma 90.00
_symmetry_space_group_name_H-M 'F -4 3 m'
_symmetry_Int_Tables_number 216
_symmetry_space_group_name_Hall 'F -4 2 3'
loop_
_atom_site_label
_atom_site_type_symbol
_atom_site_fract_x
_atom_site_fract_y
_atom_site_fract_z
_atom_site_occupancy
Lu1 Lu 0.000 0.000 0.000 1
Lu2 Lu 0.250 0.250 0.250 1
Mg1 Mg 0.000 0.000 0.500 1
Co1 Co 0.250 0.250 0.750 1
# magnetic moment = 0.01 μB per formula unit

***

# 2
# LuMgCo, optimized geometry, DFT GGA-PBE
data_LuMgCo
_chemical_formula_sum 'Lu4 Mg4 Co4'
_cell_length_a 6.462
_cell_length_b 6.462
_cell_length_c 6.462
_cell_angle_alpha 90.00
_cell_angle_beta 90.00
_cell_angle_gamma 90.00
_symmetry_space_group_name_H-M 'F -4 3 m'
_symmetry_Int_Tables_number 216
_symmetry_space_group_name_Hall 'F -4 2 3'
loop_
_atom_site_label
_atom_site_type_symbol
_atom_site_fract_x
_atom_site_fract_y
_atom_site_fract_z
_atom_site_occupancy
Lu1 Lu 0.000 0.000 0.000 1
Mg1 Mg 0.250 0.250 0.250 1
Co1 Co 0.250 0.250 0.750 1
# magnetic moment = 0.00 μB per formula unit

***

# 3
# LuMgCo, optimized geometry, DFT GGA-PBE
data_LuMgCo
_chemical_formula_sum 'Lu4 Mg4 Co4'
_cell_length_a 6.337
_cell_length_b 6.337
_cell_length_c 6.337
_cell_angle_alpha 90.00
_cell_angle_beta 90.00
_cell_angle_gamma 90.00
_symmetry_space_group_name_H-M 'F -4 3 m'
_symmetry_Int_Tables_number 216
_symmetry_space_group_name_Hall 'F -4 2 3'
loop_
_atom_site_label
_atom_site_type_symbol
_atom_site_fract_x
_atom_site_fract_y
_atom_site_fract_z
_atom_site_occupancy
Lu1 Lu 0.000 0.000 0.000 1
Mg1 Mg 0.250 0.250 0.750 1
Co1 Co 0.000 0.000 0.500 1
# magnetic moment = 0.33 μB per formula unit

***

Record order is preserved below.
DFT total energy: -4.24, -3.63, -3.73 eV per atom